Model i:
## NaLi4Cd (PBE)

Data for a relaxed structure of NaLi4Cd.

Lattice parameters (Å, degrees): 3.3361 3.6761 10.6981 90.00 91.33 90.00
With the nearest neighbours (Å) after each atom.
Positions (direct):
Na  0.0000  0.0000  0.0000  4 Na 3.34-3.68, 8 Li 3.35-3.40
Li  0.0009  0.0000  0.6379  4 Cd 2.87-2.91, 5 Li 2.93-2.97
Li  0.4983  0.5000  0.2137  4 Li 2.93-2.97, 1 Cd 3.06
Li  0.5017  0.5000  0.7863  4 Li 2.93-2.97, 1 Cd 3.06
Li  0.9991  0.0000  0.3621  4 Cd 2.87-2.91, 5 Li 2.93-2.97
Cd  0.5000  0.5000  0.5000  10 Li 2.87-3.06

Properties
SG: P2/m (10)

Model ii:
## NaLi4Cd (PBE)

Data for a relaxed structure of NaLi4Cd.

Lattice parameters (Å, degrees): 5.4244 5.4244 5.1142 90.07 90.07 56.56
With the nearest neighbours (Å) after each atom.
Positions (direct):
Na  0.0000  0.0000  0.0000  10 Li 2.99-3.25
Li  0.1777  0.1777  0.4992  4 Li 2.92-2.99, 2 Na 3.06-3.07, 3 Cd 3.08
Li  0.3401  0.3401  0.9988  2 Cd 2.97-2.98, 5 Li 2.99-3.09, 3 Na 2.99-3.25
Li  0.6599  0.6599  0.0012  2 Cd 2.97-2.98, 5 Li 2.99-3.09, 3 Na 2.99-3.25
Li  0.8223  0.8223  0.5008  4 Li 2.92-2.99, 2 Na 3.06-3.07, 3 Cd 3.08
Cd  0.5000  0.5000  0.5000  10 Li 2.97-3.08

Properties
SG: C2/m (12)

Relative energies, unit eV/atom: model i 0.000; model ii 0.011

Model i:
## NaLi6Cd2 (PBE)

Data for a relaxed structure of NaLi6Cd2.

Lattice parameters (Å, degrees): 4.4348 4.4348 10.1983 90.00 90.00 90.00
With the nearest neighbours (Å) after each atom.
Positions (direct):
Na  0.0000  0.0000  0.0000  8 Cd 3.44, 8 Li 3.83
Li  0.0000  0.0000  0.5000  12 Li 2.97-3.14
Li  0.0000  0.5000  0.3064  2 Cd 2.80, 4 Li 2.97
Li  0.0000  0.5000  0.6936  2 Cd 2.80, 4 Li 2.97
Li  0.5000  0.0000  0.3064  2 Cd 2.80, 4 Li 2.97
Li  0.5000  0.0000  0.6936  2 Cd 2.80, 4 Li 2.97
Li  0.5000  0.5000  0.5000  12 Li 2.97-3.14
Cd  0.5000  0.5000  0.1394  4 Li 2.80, 1 Cd 2.84
Cd  0.5000  0.5000  0.8606  4 Li 2.80, 1 Cd 2.84

Properties
SG: P4/mmm (123)

Model ii:
## NaLi6Cd2 (PBE)

Data for a relaxed structure of NaLi6Cd2.

Lattice parameters (Å, degrees): 8.3074 8.3074 2.9844 92.39 92.39 60.14
With the nearest neighbours (Å) after each atom.
Positions (direct):
Na  0.0000  0.0000  0.0000  2 Na 2.98, 8 Li 3.11-3.25
Li  0.0005  0.3473  0.4311  1 Li 2.55
Li  0.3473  0.0005  0.4311  1 Li 2.55
Li  0.3467  0.6533  0.5000  1 Li 2.55
Li  0.6533  0.3467  0.5000  1 Li 2.55
Li  0.6527  0.9995  0.5689  1 Li 2.55
Li  0.9995  0.6527  0.5689  1 Li 2.55
Cd  0.3333  0.3333  0.9986  2 Cd 2.98, 12 Li 3.01-3.21
Cd  0.6667  0.6667  0.0014  2 Cd 2.98, 12 Li 3.01-3.21

Properties
SG: C2/m (12)

Relative energies, unit eV/atom: model i 0.051; model ii 0.000

Model i:
## Na8LiCd2 (PBE)

Data for a relaxed structure of Na8LiCd2.

Lattice parameters (Å, degrees): 8.6494 8.6494 5.8756 101.77 101.77 116.94
With the nearest neighbours (Å) after each atom.
Positions (direct):
Na  0.0840  0.3213  0.6132  2 Cd 3.19-3.29, 2 Na 3.38-3.50
Na  0.2240  0.7760  0.0000  2 Cd 3.20, 1 Li 3.30
Na  0.3213  0.0840  0.6132  2 Cd 3.19-3.29, 2 Na 3.38-3.50
Na  0.3869  0.3869  0.1917  1 Li 3.23, 2 Cd 3.27, 4 Na 3.40-3.60
Na  0.6131  0.6131  0.8083  1 Li 3.23, 2 Cd 3.27, 4 Na 3.40-3.60
Na  0.6787  0.9160  0.3868  2 Cd 3.19-3.29, 2 Na 3.38-3.50
Na  0.7760  0.2240  0.0000  2 Cd 3.20, 1 Li 3.30
Na  0.9160  0.6787  0.3868  2 Cd 3.19-3.29, 2 Na 3.38-3.50
Li  0.0000  0.0000  0.0000  4 Na 3.23-3.30
Cd  0.3105  0.6895  0.5000  8 Na 3.19-3.29
Cd  0.6895  0.3105  0.5000  8 Na 3.19-3.29

Properties
SG: C2/m (12)

Model ii:
## Na8LiCd2 (PBE)

Data for a relaxed structure of Na8LiCd2.

Lattice parameters (Å, degrees): 8.5986 8.5986 8.6294 119.22 119.22 38.02
With the nearest neighbours (Å) after each atom.
Positions (direct):
Na  0.0414  0.0414  0.2229  1 Cd 3.29, 7 Na 3.36-3.60
Na  0.1447  0.1447  0.7064  3 Cd 3.36-3.40, 6 Na 3.38-3.74, 2 Li 3.50
Na  0.3222  0.3222  0.5912  1 Cd 3.24, 1 Li 3.37, 6 Na 3.42-3.50
Na  0.3907  0.3907  0.0462  3 Cd 3.31-3.32, 1 Li 3.36, 4 Na 3.48-3.53
Na  0.6093  0.6093  0.9538  3 Cd 3.31-3.32, 1 Li 3.36, 4 Na 3.48-3.53
Na  0.6778  0.6778  0.4088  1 Cd 3.24, 1 Li 3.37, 6 Na 3.42-3.50
Na  0.8553  0.8553  0.2936  3 Cd 3.36-3.40, 6 Na 3.38-3.74, 2 Li 3.50
Na  0.9586  0.9586  0.7771  1 Cd 3.29, 7 Na 3.36-3.60
Li  0.5000  0.5000  0.5000  8 Na 3.36-3.50
Cd  0.2228  0.2228  0.1552  8 Na 3.24-3.40
Cd  0.7772  0.7772  0.8448  8 Na 3.24-3.40

Properties
SG: C2/m (12)

Relative energies, unit eV/atom: model i 0.031; model ii 0.000

Model i:
## NaLiCd2 (PBE)

Data for a relaxed structure of NaLiCd2.

Lattice parameters (Å, degrees): 7.3394 7.3394 8.1277 93.95 93.95 24.32
With the nearest neighbours (Å) after each atom.
Positions (direct):
Na  0.1277  0.1277  0.4513  1 Li 3.04, 2 Na 3.09, 5 Cd 3.30-3.39
Na  0.8723  0.8723  0.5487  1 Li 3.04, 2 Na 3.09, 5 Cd 3.30-3.39
Li  0.0959  0.0959  0.0780  7 Cd 2.90-2.99, 3 Li 2.95-3.09, 1 Na 3.04
Li  0.9041  0.9041  0.9220  7 Cd 2.90-2.99, 3 Li 2.95-3.09, 1 Na 3.04
Cd  0.2364  0.2364  0.8232  3 Li 2.92-2.99, 6 Cd 3.09-3.26
Cd  0.4519  0.4519  0.2238  4 Li 2.90-2.94, 4 Cd 3.09-3.11
Cd  0.5481  0.5481  0.7762  4 Li 2.90-2.94, 4 Cd 3.09-3.11
Cd  0.7636  0.7636  0.1768  3 Li 2.92-2.99, 6 Cd 3.09-3.26

Properties
SG: C2/m (12)

Model ii:
## NaLiCd2 (PBE)

Data for a relaxed structure of NaLiCd2.

Lattice parameters (Å, degrees): 11.1777 11.1777 11.1777 157.86 157.86 31.52
With the nearest neighbours (Å) after each atom.
Positions (direct):
Na  0.0000  0.0000  0.0000  4 Li 3.04, 4 Cd 3.10
Na  0.7500  0.2500  0.5000  4 Li 3.04, 4 Cd 3.10
Li  0.2500  0.7500  0.5000  4 Na 3.04, 4 Cd 3.07
Li  0.5000  0.5000  0.0000  4 Na 3.04, 4 Cd 3.07
Cd  0.1357  0.6250  0.0107  4 Cd 2.97-3.10, 2 Li 3.07, 2 Na 3.10
Cd  0.3750  0.3857  0.5107  4 Cd 2.97-3.10, 2 Li 3.07, 2 Na 3.10
Cd  0.6143  0.1250  0.9893  4 Cd 2.97-3.10, 2 Li 3.07, 2 Na 3.10
Cd  0.8750  0.8643  0.4893  4 Cd 2.97-3.10, 2 Li 3.07, 2 Na 3.10

Properties
SG: I-42d (122)

Relative energies, unit eV/atom: model i 0.000; model ii 0.168

Model i:
## NaLiCd2 (PBE)

Data for a relaxed structure of NaLiCd2.

Lattice parameters (Å, degrees): 4.4738 4.4738 4.5422 90.00 90.00 90.00
With the nearest neighbours (Å) after each atom.
Positions (direct):
Na  0.0000  0.0000  0.0000  4 Li 3.16, 8 Cd 3.19
Li  0.5000  0.5000  0.0000  4 Na 3.16, 8 Cd 3.19
Cd  0.0000  0.5000  0.5000  4 Cd 3.16, 4 Na 3.19, 4 Li 3.19
Cd  0.5000  0.0000  0.5000  4 Cd 3.16, 4 Na 3.19, 4 Li 3.19

Properties
SG: P4/mmm (123)

Model ii:
## NaLiCd2 (PBE)

Data for a relaxed structure of NaLiCd2.

Lattice parameters (Å, degrees): 3.4748 3.4748 7.4301 90.00 90.00 90.00
With the nearest neighbours (Å) after each atom.
Positions (direct):
Na  0.0000  0.0000  0.0000  8 Cd 3.29, 4 Na 3.47
Li  0.0000  0.0000  0.5000  8 Cd 2.89
Cd  0.5000  0.5000  0.2941  4 Li 2.89, 1 Cd 3.06
Cd  0.5000  0.5000  0.7059  4 Li 2.89, 1 Cd 3.06

Properties
SG: P4/mmm (123)

Relative energies, unit eV/atom: model i 0.046; model ii 0.000

Model i:
## NaLiCd6 (PBE)

Data for a relaxed structure of NaLiCd6.

Lattice parameters (Å, degrees): 4.9435 6.3696 6.3696 60.01 90.00 90.00
With the nearest neighbours (Å) after each atom.
Positions (direct):
Na  0.0000  0.0000  0.0000  12 Cd 3.09-3.19
Li  0.5000  0.6672  0.6672  12 Cd 3.05-3.19
Cd  0.0000  0.5044  0.5044  2 Li 3.06, 8 Cd 3.09-3.26, 2 Na 3.19
Cd  0.0000  0.5040  0.9922  2 Li 3.05, 8 Cd 3.09-3.26, 2 Na 3.18-3.19
Cd  0.0000  0.9922  0.5040  2 Li 3.05, 8 Cd 3.09-3.26, 2 Na 3.18-3.19
Cd  0.5000  0.1686  0.1686  8 Cd 3.09-3.22, 2 Na 3.09, 2 Li 3.19
Cd  0.5000  0.1690  0.6629  8 Cd 3.09-3.22, 2 Na 3.09, 2 Li 3.18-3.19
Cd  0.5000  0.6629  0.1690  8 Cd 3.09-3.22, 2 Na 3.09, 2 Li 3.18-3.19

Properties
SG: Amm2 (38)

Model ii:
## NaLiCd6 (PBE)

Data for a relaxed structure of NaLiCd6.

Lattice parameters (Å, degrees): 4.4715 4.4715 8.8982 90.00 90.00 90.00
With the nearest neighbours (Å) after each atom.
Positions (direct):
Na  0.0000  0.0000  0.0000  12 Cd 3.16-3.23
Li  0.0000  0.0000  0.5000  12 Cd 3.08-3.16
Cd  0.0000  0.5000  0.2615  8 Cd 3.08-3.23, 2 Li 3.08, 2 Na 3.23
Cd  0.0000  0.5000  0.7385  8 Cd 3.08-3.23, 2 Li 3.08, 2 Na 3.23
Cd  0.5000  0.0000  0.2615  8 Cd 3.08-3.23, 2 Li 3.08, 2 Na 3.23
Cd  0.5000  0.0000  0.7385  8 Cd 3.08-3.23, 2 Li 3.08, 2 Na 3.23
Cd  0.5000  0.5000  0.0000  4 Na 3.16, 8 Cd 3.23
Cd  0.5000  0.5000  0.5000  8 Cd 3.08, 4 Li 3.16

Properties
SG: P4/mmm (123)

Relative energies, unit eV/atom: model i 0.000; model ii 0.012

Model i:
## NaLi3Cd (PBE)

Data for a relaxed structure of NaLi3Cd.

Lattice parameters (Å, degrees): 7.8020 6.2689 10.5327 90.00 122.47 90.00
With the nearest neighbours (Å) after each atom.
Positions (direct):
Na  0.2092  0.1381  0.0575  9 Li 3.04-3.32, 2 Cd 3.19-3.23, 1 Na 3.30
Na  0.2092  0.3619  0.5575  9 Li 3.04-3.32, 2 Cd 3.19-3.23, 1 Na 3.30
Na  0.7908  0.6381  0.4425  9 Li 3.04-3.32, 2 Cd 3.19-3.23, 1 Na 3.30
Na  0.7908  0.8619  0.9425  9 Li 3.04-3.32, 2 Cd 3.19-3.23, 1 Na 3.30
Li  0.0081  0.6135  0.2445  2 Cd 2.90-2.98, 6 Li 3.04-3.24, 2 Na 3.10-3.20
Li  0.0081  0.8865  0.7445  2 Cd 2.90-2.98, 6 Li 3.04-3.24, 2 Na 3.10-3.20
Li  0.2354  0.6292  0.0699  4 Li 2.92-3.18, 3 Cd 2.94-3.18, 2 Na 3.08-3.20
Li  0.2354  0.8708  0.5699  4 Li 2.92-3.18, 3 Cd 2.94-3.18, 2 Na 3.08-3.20
Li  0.4035  0.1251  0.8552  5 Li 2.92-3.24, 3 Cd 2.97-3.18, 3 Na 3.04-3.21
Li  0.4035  0.3749  0.3552  5 Li 2.92-3.24, 3 Cd 2.97-3.18, 3 Na 3.04-3.21
Li  0.5965  0.6251  0.6448  5 Li 2.92-3.24, 3 Cd 2.97-3.18, 3 Na 3.04-3.21
Li  0.5965  0.8749  0.1448  5 Li 2.92-3.24, 3 Cd 2.97-3.18, 3 Na 3.04-3.21
Li  0.7646  0.1292  0.4301  4 Li 2.92-3.18, 3 Cd 2.94-3.18, 2 Na 3.08-3.20
Li  0.7646  0.3708  0.9301  4 Li 2.92-3.18, 3 Cd 2.94-3.18, 2 Na 3.08-3.20
Li  0.9919  0.1135  0.2555  2 Cd 2.90-2.98, 6 Li 3.04-3.24, 2 Na 3.10-3.20
Li  0.9919  0.3865  0.7555  2 Cd 2.90-2.98, 6 Li 3.04-3.24, 2 Na 3.10-3.20
Cd  0.3717  0.6308  0.8583  8 Li 2.90-3.18, 1 Cd 3.03, 2 Na 3.19-3.23
Cd  0.3717  0.8692  0.3583  8 Li 2.90-3.18, 1 Cd 3.03, 2 Na 3.19-3.23
Cd  0.6283  0.1308  0.6417  8 Li 2.90-3.18, 1 Cd 3.03, 2 Na 3.19-3.23
Cd  0.6283  0.3692  0.1417  8 Li 2.90-3.18, 1 Cd 3.03, 2 Na 3.19-3.23

Properties
SG: P2_1/c (14)

Model ii:
## NaLi3Cd (PBE)

Data for a relaxed structure of NaLi3Cd.

Lattice parameters (Å, degrees): 7.0499 7.0499 5.8975 90.00 90.00 120.08
With the nearest neighbours (Å) after each atom.
Positions (direct):
Na  0.1667  0.8333  0.7500  12 Li 3.41-3.54
Na  0.8333  0.1667  0.2500  12 Li 3.41-3.54
Li  0.1151  0.3078  0.7500  2 Cd 2.77, 2 Li 2.98
Li  0.3078  0.1151  0.2500  2 Cd 2.77, 2 Li 2.98
Li  0.3077  0.6923  0.2500  2 Cd 2.77, 2 Li 2.98
Li  0.6923  0.3077  0.7500  2 Cd 2.77, 2 Li 2.98
Li  0.6922  0.8849  0.7500  2 Cd 2.77, 2 Li 2.98
Li  0.8849  0.6922  0.2500  2 Cd 2.77, 2 Li 2.98
Cd  0.5000  0.5000  0.0000  6 Li 2.77, 2 Cd 2.95
Cd  0.5000  0.5000  0.5000  6 Li 2.77, 2 Cd 2.95

Properties
SG: Cmcm (63)

Relative energies, unit eV/atom: model i 0.000; model ii 0.086

Model i:
## Na2LiCd3 (PBE)

Data for a relaxed structure of Na2LiCd3.

Lattice parameters (Å, degrees): 5.9256 5.9256 5.8171 119.20 119.20 61.49
With the nearest neighbours (Å) after each atom.
Positions (direct):
Na  0.1224  0.1224  0.3764  9 Cd 3.43-3.50, 3 Li 3.48-3.53, 4 Na 3.51-3.71
Na  0.8776  0.8776  0.6236  9 Cd 3.43-3.50, 3 Li 3.48-3.53, 4 Na 3.51-3.71
Li  0.5000  0.5000  0.0000  6 Cd 2.91-2.96
Cd  0.0000  0.5000  0.0000  2 Li 2.96, 4 Cd 2.97-3.03
Cd  0.5000  0.0000  0.0000  2 Li 2.96, 4 Cd 2.97-3.03
Cd  0.5000  0.5000  0.5000  2 Li 2.91, 4 Cd 2.97

Properties
SG: C2/m (12)

Model ii:
## Na2LiCd3 (PBE)

Data for a relaxed structure of Na2LiCd3.

Lattice parameters (Å, degrees): 5.6931 6.0180 8.5092 90.00 90.00 90.00
With the nearest neighbours (Å) after each atom.
Positions (direct):
Na  0.2500  0.0000  0.0945  1 Li 3.00, 2 Na 3.27
Na  0.2500  0.5000  0.3682  2 Li 3.08, 8 Cd 3.34-3.44
Na  0.7500  0.0000  0.9055  1 Li 3.00, 2 Na 3.27
Na  0.7500  0.5000  0.6318  2 Li 3.08, 8 Cd 3.34-3.44
Li  0.2500  0.0000  0.4475  2 Cd 2.82, 2 Li 2.98, 3 Na 3.00-3.08
Li  0.7500  0.0000  0.5525  2 Cd 2.82, 2 Li 2.98, 3 Na 3.00-3.08
Cd  0.0000  0.5000  0.0000  6 Cd 2.85-3.11
Cd  0.2500  0.2436  0.7302  1 Li 2.82, 4 Cd 2.93-3.11
Cd  0.2500  0.7564  0.7302  1 Li 2.82, 4 Cd 2.93-3.11
Cd  0.5000  0.5000  0.0000  6 Cd 2.85-3.11
Cd  0.7500  0.2436  0.2698  1 Li 2.82, 4 Cd 2.93-3.11
Cd  0.7500  0.7564  0.2698  1 Li 2.82, 4 Cd 2.93-3.11

Properties
SG: Pmma (51)

Relative energies, unit eV/atom: model i 0.000; model ii 0.048